# ZrTc2Se (PBE, relaxed)
# magnetization = 0.00 μB per formula unit
# E_tot = -8.3343 eV/atom
# crystal system = monoclinic
# uncorrected formation energy = -55 kJ/mol of formula units
data_ZrTc2Se
_chemical_formula_sum 'Zr1 Tc2 Se1'
_symmetry_space_group_name_H-M 'P 1'
_symmetry_Int_Tables_number 1
_cell_length_a 3.954
_cell_length_b 3.143
_cell_length_c 5.642
_cell_angle_alpha 76.19
_cell_angle_beta 90.00
_cell_angle_gamma 90.00
loop_
_symmetry_equiv_pos_as_xyz
'x,y,z'
loop_
_atom_site_label
_atom_site_fract_x
_atom_site_fract_y
_atom_site_fract_z
Se1 0.500 0.949 0.719
Tc1 0.000 0.847 0.030
Tc2 0.500 0.170 0.227
Zr1 0.000 0.534 0.523